[1]
RbZrO3 | the Alexandria database | GGA-PBE | optimized geometry; raw total energy = -142.973 eV per cell; energy relative to the elements, uncorrected = -11.35 eV per formula unit
1.0
-1.3687 3.4568 -7.0593
-6.3803 -2.1058 -4.3029
-6.0973 5.0768 -0.8406
Rb Zr O
4 4 12
Cartesian
-4.9209 -0.2494 -3.6768
-1.7308 0.8035 -1.5253
-4.7794 3.3419 -1.9456
-2.4151 2.5319 -5.0550
-5.4637 5.0703 -5.4753
-8.6539 4.0174 -7.6267
-5.6052 1.4790 -7.2065
-7.9695 2.2890 -4.0971
-7.1293 5.2347 -6.7846
-6.7169 1.1931 -5.4182
-4.8132 3.3062 -6.4653
-9.0330 3.1216 -5.7375
-7.2368 2.5063 -8.0998
-6.6094 3.9215 -4.1030
-10.1784 2.8001 -8.4689
-10.5908 6.8416 -9.8353
-12.4946 4.7286 -8.7882
-8.2747 4.9131 -9.5160
-10.0709 5.5285 -7.1537
-10.6983 4.1132 -11.1505

=====

[2]
Tb8Te4C3S | the Alexandria database | GGA-PBE | optimized geometry; raw total energy = -98.771 eV per cell; energy relative to the elements, uncorrected = -17.36 eV per formula unit
1.0
-0.9998 7.7888 -0.1315
-6.4835 -0.9197 -5.1779
-0.1538 -3.8640 6.8366
Tb Te C S
8 4 3 1
Cartesian
-4.8874 -2.4335 2.8845
-4.8155 -0.6235 -0.3182
-2.3453 -0.2664 2.0523
-5.3558 1.2149 2.8228
-2.2813 1.7902 -1.2957
-5.2917 3.2715 -0.5251
-2.8215 3.6286 1.8453
-2.7496 5.4386 -1.3573
-0.4999 3.8944 -0.0658
-0.5768 1.9624 3.3525
0.0000 0.0000 0.0000
-0.0769 -1.9320 3.4183
-3.7416 3.4345 -2.6547
-3.8185 1.5026 0.7636
-3.3186 -2.3918 0.8293
-3.2417 -0.4599 -2.5889

=====

[3]
Nb3CrRu2 | the Alexandria database | GGA-PBE | optimized geometry; raw total energy = -119.083 eV per cell; calculated formation energy = -192.9 meV/atom
1.0
-2.9506 2.1717 2.5358
-1.5440 -4.0234 5.5635
4.7452 2.6621 3.2422
Nb Cr Ru
6 2 4
Cartesian
0.6303 2.4584 6.4586
-0.3195 1.7333 2.0565
-0.3796 -1.6480 4.8829
-1.8329 1.0753 4.7742
2.0836 -0.2649 6.5673
2.1142 3.1004 3.7215
-1.4981 -0.6090 2.6929
-2.9965 -1.2427 5.4064
0.0000 0.0000 0.0000
2.3726 1.3310 1.6211
0.8746 0.7299 4.3073
-0.6240 0.0805 7.0342

=====

[4]
KCdGa2Os | the Alexandria database | GGA-PBE | optimized geometry; raw total energy = -19.688 eV per cell; calculated formation energy = -78.3 meV/atom
1.0
-0.4812 -2.0527 -4.3864
-0.1465 -4.3999 2.0750
-5.3149 0.3702 0.4099
K Os Ga Cd
1 1 2 1
Cartesian
-2.9713 -3.0412 -0.9508
0.0000 0.0000 0.0000
-0.0732 -2.1999 1.0375
-0.2406 -1.0264 -2.1932
-2.6574 0.1851 0.2049

=====

no.,Fermi-level density of states (states/eV per cell)
1,20.4
2,5.3
3,6.9
4,1.8